# 1
# LiLaPaTc | the Alexandria database | PBE | relaxed
data_LiLaPaTc
_cell_length_a 7.0864
_cell_length_b 7.0864
_cell_length_c 7.0864
_cell_angle_alpha 90.00
_cell_angle_beta 90.00
_cell_angle_gamma 90.00
_space_group_name_H-M_alt 'F -4 3 m'
_space_group_IT_number 216
_space_group_name_Hall 'F -4 2 3'
loop_
_atom_site_label
_atom_site_fract_x
_atom_site_fract_y
_atom_site_fract_z
Li1 0.0000 0.0000 0.0000
La1 0.2500 0.2500 0.7500
Pa1 0.2500 0.2500 0.2500
Tc1 0.0000 0.0000 0.5000
# Energy relative to the elements   203.3 meV/atom
# E_tot   -103.6 eV per cell
# Total moment   0.04 μB/f.u.

=====

# 2
# Hf2AgBiTe | the Alexandria database | PBE | relaxed
data_Hf2AgBiTe
_cell_length_a 5.3278
_cell_length_b 5.3278
_cell_length_c 5.0829
_cell_angle_alpha 90.00
_cell_angle_beta 90.00
_cell_angle_gamma 90.00
_space_group_name_H-M_alt 'P 4/m m m'
_space_group_IT_number 123
_space_group_name_Hall '-P 4 2'
loop_
_atom_site_label
_atom_site_fract_x
_atom_site_fract_y
_atom_site_fract_z
Hf1 0.0000 0.5000 0.0000
Ag1 0.0000 0.0000 0.5000
Bi1 0.5000 0.5000 0.5000
Te1 0.0000 0.0000 0.0000
# E_tot   -26.2 eV per cell
# Total moment   0.00 μB/f.u.

=====

# 3
# TmSi4Rh4 | the Alexandria database | PBE | relaxed
data_TmSi4Rh4
_cell_length_a 5.9395
_cell_length_b 5.9395
_cell_length_c 7.9753
_cell_angle_alpha 90.00
_cell_angle_beta 90.00
_cell_angle_gamma 90.00
_space_group_name_H-M_alt 'P 42/n m c'
_space_group_IT_number 137
loop_
_space_group_symop_operation_xyz
'x,y,z'
'-x,-y,-z'
'-y+1/2,x,z+1/2'
'y+1/2,-x,-z+1/2'
'-x+1/2,-y+1/2,z'
'x+1/2,y+1/2,-z'
'y,-x+1/2,z+1/2'
'-y,x+1/2,-z+1/2'
'x+1/2,-y,-z'
'-x+1/2,y,z'
'-y,-x,-z+1/2'
'y,x,z+1/2'
'-x,y+1/2,-z'
'x,-y+1/2,z'
'y+1/2,x+1/2,-z+1/2'
'-y+1/2,-x+1/2,z+1/2'
loop_
_atom_site_label
_atom_site_fract_x
_atom_site_fract_y
_atom_site_fract_z
Tm1 0.2500 0.7500 0.2500
Si1 0.0471 0.2500 0.0737
Rh1 0.0146 0.2500 0.3743
# E_tot   -125.7 eV per cell
# Total moment   0.00 μB/f.u.

=====

# 4
# TiSnF2 | the Alexandria database | PBE | relaxed
data_TiSnF2
_cell_length_a 6.2500
_cell_length_b 6.2500
_cell_length_c 6.2500
_cell_angle_alpha 90.00
_cell_angle_beta 90.00
_cell_angle_gamma 90.00
_space_group_name_H-M_alt 'F m -3 m'
_space_group_IT_number 225
_space_group_name_Hall '-F 4 2 3'
loop_
_atom_site_label
_atom_site_fract_x
_atom_site_fract_y
_atom_site_fract_z
Ti1 0.0000 0.0000 0.0000
Sn1 0.0000 0.0000 0.5000
F1 0.2500 0.2500 0.2500
# Polymorph energy (0 for the lowest one)   817 meV per atom
# E_tot   -78.9 eV per cell
# Total moment   1.26 μB/f.u.

=====

# 5
# Pr6GeN2Cl3 | the Alexandria database | PBE | relaxed
data_Pr6GeN2Cl3
_cell_length_a 18.4087
_cell_length_b 3.9162
_cell_length_c 8.4511
_cell_angle_alpha 90.00
_cell_angle_beta 109.43
_cell_angle_gamma 90.00
_space_group_name_H-M_alt 'C 1 2/m 1'
_space_group_IT_number 12
loop_
_space_group_symop_operation_xyz
'x,y,z'
'-x,-y,-z'
'-x,y,-z'
'x,-y,z'
'x+1/2,y+1/2,z'
'-x+1/2,-y+1/2,-z'
'-x+1/2,y+1/2,-z'
'x+1/2,-y+1/2,z'
loop_
_atom_site_label
_atom_site_fract_x
_atom_site_fract_y
_atom_site_fract_z
Pr1 0.0287 0.0000 0.2587
Pr2 0.1675 0.5000 0.1355
Pr3 0.1833 0.5000 0.5523
Ge1 0.0000 0.5000 0.0000
N1 0.1732 0.0000 0.3408
Cl1 0.0000 0.5000 0.5000
Cl2 0.1628 0.0000 0.8268
# E_tot   -144.2 eV per cell
# Total moment   0.00 μB/f.u.

=====

# 6
# Zr5AlCu | the Alexandria database | PBE | relaxed
data_Zr5AlCu
_cell_length_a 4.3608
_cell_length_b 4.3608
_cell_length_c 7.8741
_cell_angle_alpha 90.00
_cell_angle_beta 90.00
_cell_angle_gamma 90.00
_space_group_name_H-M_alt 'P 4/m m m'
_space_group_IT_number 123
_space_group_name_Hall '-P 4 2'
loop_
_atom_site_label
_atom_site_fract_x
_atom_site_fract_y
_atom_site_fract_z
Zr1 0.0000 0.0000 0.0000
Zr2 0.0000 0.5000 0.2794
Al1 0.5000 0.5000 0.0000
Cu1 0.5000 0.5000 0.5000
# Polymorph energy (0 for the lowest one)   0 meV per atom
# Energy relative to the elements   -75.6 meV/atom
# E_tot   -51.1 eV per cell
# Total moment   0.00 μB/f.u.

=====

# 7
# IrSF | the Alexandria database | PBE | relaxed
data_IrSF
_cell_length_a 11.2369
_cell_length_b 3.3232
_cell_length_c 2.7783
_cell_angle_alpha 90.00
_cell_angle_beta 103.90
_cell_angle_gamma 90.00
_space_group_name_H-M_alt 'C 1 m 1'
_space_group_IT_number 8
loop_
_space_group_symop_operation_xyz
'x,y,z'
'x,-y,z'
'x+1/2,y+1/2,z'
'x+1/2,-y+1/2,z'
loop_
_atom_site_label
_atom_site_fract_x
_atom_site_fract_y
_atom_site_fract_z
Ir1 0.0000 0.0000 0.0000
S1 0.3696 0.0000 0.8735
F1 0.1285 0.5000 0.1245
# Polymorph energy (0 for the lowest one)   163 meV per atom
# E_tot   -33.7 eV per cell
# Total moment   0.00 μB/f.u.

=====

# 8
# Sc2CrSnH | the Alexandria database | PBE | relaxed
data_Sc2CrSnH
_cell_length_a 4.4387
_cell_length_b 4.4387
_cell_length_c 4.1357
_cell_angle_alpha 90.00
_cell_angle_beta 90.00
_cell_angle_gamma 90.00
_space_group_name_H-M_alt 'P 4/m m m'
_space_group_IT_number 123
_space_group_name_Hall '-P 4 2'
loop_
_atom_site_label
_atom_site_fract_x
_atom_site_fract_y
_atom_site_fract_z
Sc1 0.0000 0.5000 0.0000
Cr1 0.0000 0.0000 0.5000
Sn1 0.5000 0.5000 0.5000
H1 0.0000 0.0000 0.0000
# E_tot   -31.2 eV per cell
# Total moment   2.72 μB/f.u.

=====

# 9
# Pr6Ni2HBr3 | the Alexandria database | PBE | relaxed
data_Pr6Ni2HBr3
_cell_length_a 7.0372
_cell_length_b 12.2410
_cell_length_c 7.9907
_cell_angle_alpha 90.00
_cell_angle_beta 107.07
_cell_angle_gamma 90.00
_space_group_name_H-M_alt 'C 1 2/m 1'
_space_group_IT_number 12
loop_
_space_group_symop_operation_xyz
'x,y,z'
'-x,-y,-z'
'-x,y,-z'
'x,-y,z'
'x+1/2,y+1/2,z'
'-x+1/2,-y+1/2,-z'
'-x+1/2,y+1/2,-z'
'x+1/2,-y+1/2,z'
loop_
_atom_site_label
_atom_site_fract_x
_atom_site_fract_y
_atom_site_fract_z
Pr1 0.2259 0.0000 0.1936
Pr2 0.2360 0.3307 0.1973
Ni1 0.0000 0.1674 0.0000
H1 0.0000 0.5000 0.0000
Br1 0.0000 0.0000 0.5000
Br2 0.0000 0.3328 0.5000
# E_tot   -115.3 eV per cell
# Total moment   0.00 μB/f.u.

=====

# 10
# Sm2GaGe4Ir3 | the Alexandria database | PBE | relaxed
data_Sm2GaGe4Ir3
_cell_length_a 4.2771
_cell_length_b 4.2771
_cell_length_c 10.3029
_cell_angle_alpha 90.00
_cell_angle_beta 90.00
_cell_angle_gamma 90.00
_space_group_name_H-M_alt 'P -4 m 2'
_space_group_IT_number 115
loop_
_space_group_symop_operation_xyz
'x,y,z'
'y,-x,-z'
'-x,-y,z'
'-y,x,-z'
'-x,y,z'
'-y,-x,-z'
'x,-y,z'
'y,x,-z'
loop_
_atom_site_label
_atom_site_fract_x
_atom_site_fract_y
_atom_site_fract_z
Sm1 0.0000 0.5000 0.2417
Ga1 0.0000 0.0000 0.5000
Ge1 0.0000 0.0000 0.0000
Ge2 0.0000 0.5000 0.6424
Ge3 0.5000 0.5000 0.0000
Ir1 0.0000 0.5000 0.8773
Ir2 0.5000 0.5000 0.5000
# Energy relative to the elements   -660.6 meV/atom
# E_tot   -64.1 eV per cell
# Total moment   0.00 μB/f.u.

=====

# 11
# La3Sm2ThAs6 | the Alexandria database | PBE | relaxed
data_La3Sm2ThAs6
_cell_length_a 18.7466
_cell_length_b 4.2997
_cell_length_c 8.6085
_cell_angle_alpha 90.00
_cell_angle_beta 103.43
_cell_angle_gamma 90.00
_space_group_name_H-M_alt 'C 1 2/m 1'
_space_group_IT_number 12
loop_
_space_group_symop_operation_xyz
'x,y,z'
'-x,-y,-z'
'-x,y,-z'
'x,-y,z'
'x+1/2,y+1/2,z'
'-x+1/2,-y+1/2,-z'
'-x+1/2,y+1/2,-z'
'x+1/2,-y+1/2,z'
loop_
_atom_site_label
_atom_site_fract_x
_atom_site_fract_y
_atom_site_fract_z
La1 0.0000 0.0000 0.0000
La2 0.1677 0.5000 0.3314
Sm1 0.1677 0.5000 0.8355
Th1 0.0000 0.0000 0.5000
As1 0.0018 0.5000 0.7446
As2 0.1642 0.0000 0.5866
As3 0.1681 0.0000 0.0789
# Energy relative to the elements   -1550.2 meV/atom
# E_tot   -156.3 eV per cell
# Total moment   0.00 μB/f.u.

=====

# 12
# AlTl2Os | the Alexandria database | PBE | relaxed
data_AlTl2Os
_cell_length_a 3.0193
_cell_length_b 4.1458
_cell_length_c 7.5428
_cell_angle_alpha 105.88
_cell_angle_beta 90.05
_cell_angle_gamma 90.09
_space_group_name_H-M_alt 'P -1'
_space_group_IT_number 2
loop_
_space_group_symop_operation_xyz
'x,y,z'
'-x,-y,-z'
loop_
_atom_site_label
_atom_site_fract_x
_atom_site_fract_y
_atom_site_fract_z
Al1 0.0000 0.0000 0.0000
Tl1 0.0082 0.6708 0.3409
Os1 0.5000 0.5000 0.0000
# Polymorph energy (0 for the lowest one)   0 meV per atom
# Energy relative to the elements   239.2 meV/atom
# E_tot   -18.7 eV per cell
# Total moment   0.00 μB/f.u.